Record 1
Entry from Alexandria via LeMat-Bulk: an optimized crystal structure of Np2BiTe (GGA-PBE).

Calculated values
SG	Fm-3m
excess energy over the best structure of this formula in the dataset	0.0171	eV/atom

Cell lengths 5.362, 5.362, 5.362 Å; angles 60.00, 60.00, 60.00 degrees
Element x y z (fractional)
Np1 0.250 0.250 0.250
Np2 0.750 0.750 0.750
Bi1 0.000 0.000 0.000
Te1 0.500 0.500 0.500

Record 2
Entry from Alexandria via LeMat-Bulk: an optimized crystal structure of Sr2GaNiPd (GGA-PBE).

Calculated values
calculated formation energy	0.2	eV per formula unit
SG	P4/mmm

Cell lengths 5.743, 5.743, 4.741 Å; angles 90.00, 90.00, 90.00 degrees
Element x y z (fractional)
Sr1 0.000 0.500 0.000
Sr2 0.500 0.000 0.000
Ga1 0.000 0.000 0.500
Ni1 0.500 0.500 0.500
Pd1 0.000 0.000 0.000

Record 3
Entry from Alexandria via LeMat-Bulk: an optimized crystal structure of YP2Br (GGA-PBE).

Calculated values
SG	C2/m
excess energy over the best structure of this formula in the dataset	0.6236	eV/atom

Cell lengths 4.915, 4.915, 4.412 Å; angles 103.58, 103.58, 110.24 degrees
Element x y z (fractional)
Y1 0.000 0.000 0.000
P1 0.000 0.500 0.500
P2 0.500 0.000 0.500
Br1 0.500 0.500 0.000

Record 4
Entry from Alexandria via LeMat-Bulk: an optimized crystal structure of Sr2Zn2Ge (GGA-PBE).

Calculated values
calculated formation energy	-0.5	eV per formula unit
SG	I4/mmm
excess energy over the best structure of this formula in the dataset	0.2849	eV/atom

Cell lengths 5.798, 5.798, 5.798 Å; angles 115.40, 115.40, 98.18 degrees
Element x y z (fractional)
Sr1 0.250 0.750 0.500
Sr2 0.750 0.250 0.500
Zn1 0.158 0.158 0.000
Zn2 0.842 0.842 0.000
Ge1 0.500 0.500 0.000

Record 5
Entry from Alexandria via LeMat-Bulk: an optimized crystal structure of HgAsRhSe2 (GGA-PBE).

Calculated values
SG	P4/mmm
excess energy over the best structure of this formula in the dataset	0.0000	eV/atom

Cell lengths 5.118, 5.118, 4.581 Å; angles 90.00, 90.00, 90.00 degrees
Element x y z (fractional)
Hg1 0.000 0.000 0.000
As1 0.500 0.500 0.000
Rh1 0.500 0.500 0.500
Se1 0.000 0.500 0.500
Se2 0.500 0.000 0.500

Record 6
Entry from Alexandria via LeMat-Bulk: an optimized crystal structure of Al3HgN (GGA-PBE).

Calculated values
E_tot	-3.8683	eV/atom
SG	Pm-3m

Cell lengths 4.171, 4.171, 4.171 Å; angles 90.00, 90.00, 90.00 degrees
Element x y z (fractional)
Al1 0.000 0.000 0.500
Al2 0.000 0.500 0.000
Al3 0.500 0.000 0.000
Hg1 0.500 0.500 0.500
N1 0.000 0.000 0.000